A relaxed structure of LaTh2Cu6, computed with PBE.

Output
Total magnetization = 0.0 Bohr magnetons per cell
Raw total energy = -46.1 eV for the cell shown
ΔE_f = -0.194 eV per atom

```
data_LaTh2Cu6
_cell_length_a 3.606
_cell_length_b 7.574
_cell_length_c 7.574
_cell_angle_alpha 120.00
_cell_angle_beta 90.00
_cell_angle_gamma 90.00
_space_group_name_H-M_alt 'P 1'
_space_group_IT_number 1
_space_group_name_Hall 'P 1'
loop_
_atom_site_label
_atom_site_fract_x
_atom_site_fract_y
_atom_site_fract_z
La1 0.000 0.000 0.000
Th1 0.000 0.333 0.667
Th2 0.000 0.667 0.333
Cu1 0.500 0.335 0.335
Cu2 0.500 0.665 0.665
Cu3 0.500 0.000 0.665
Cu4 0.500 0.665 0.000
Cu5 0.500 0.335 0.000
Cu6 0.500 0.000 0.335
```

A relaxed structure of AcAgAu, computed with PBE.

Output
Total magnetization = 0.0 Bohr magnetons per cell
Raw total energy = -12.0 eV for the cell shown
ΔE_f = -0.587 eV per atom

```
data_AcAgAu
_cell_length_a 4.025
_cell_length_b 4.829
_cell_length_c 4.829
_cell_angle_alpha 120.00
_cell_angle_beta 90.00
_cell_angle_gamma 90.00
_space_group_name_H-M_alt 'P 1'
_space_group_IT_number 1
_space_group_name_Hall 'P 1'
loop_
_atom_site_label
_atom_site_fract_x
_atom_site_fract_y
_atom_site_fract_z
Ac1 0.667 0.333 0.667
Au1 0.166 0.000 0.000
Ag1 0.167 0.667 0.333
```

A relaxed structure of LiZr, computed with PBE.

Output
Total magnetization = 0.0 Bohr magnetons per cell
Raw total energy = -77.3 eV for the cell shown
ΔE_f = 0.400 eV per atom

```
data_LiZr
_cell_length_a 8.158
_cell_length_b 8.158
_cell_length_c 5.092
_cell_angle_alpha 90.00
_cell_angle_beta 90.00
_cell_angle_gamma 90.00
_space_group_name_H-M_alt 'P 1'
_space_group_IT_number 1
_space_group_name_Hall 'P 1'
loop_
_atom_site_label
_atom_site_fract_x
_atom_site_fract_y
_atom_site_fract_z
Li1 0.926 0.234 0.000
Li2 0.926 0.766 0.500
Li3 0.074 0.234 0.500
Li4 0.074 0.766 0.000
Li5 0.766 0.074 0.500
Li6 0.766 0.926 0.000
Li7 0.234 0.074 0.000
Li8 0.234 0.926 0.500
Zr1 0.760 0.573 0.000
Zr2 0.760 0.427 0.500
Zr3 0.240 0.573 0.500
Zr4 0.240 0.427 0.000
Zr5 0.427 0.240 0.500
Zr6 0.427 0.760 0.000
Zr7 0.573 0.240 0.000
Zr8 0.573 0.760 0.500
```

A relaxed structure of Tl2HgS, computed with PBE.

Output
Formation energy from raw total energies = -0.13 eV per atom
Total magnetization = 0.0 Bohr magnetons per cell
Raw total energy = -9.7 eV for the cell shown

```
data_Tl2HgS
_cell_length_a 5.410
_cell_length_b 5.410
_cell_length_c 5.410
_cell_angle_alpha 60.00
_cell_angle_beta 60.00
_cell_angle_gamma 60.00
_space_group_name_H-M_alt 'P 1'
_space_group_IT_number 1
_space_group_name_Hall 'P 1'
loop_
_atom_site_label
_atom_site_fract_x
_atom_site_fract_y
_atom_site_fract_z
S1 0.000 0.000 0.000
Tl1 0.250 0.250 0.250
Tl2 0.750 0.750 0.750
Hg1 0.500 0.500 0.500
```

A relaxed structure of Sm3YTc, computed with PBE.

Output
Total magnetization = 0.0 Bohr magnetons per cell
Raw total energy = -121.6 eV for the cell shown
ΔE_f = 0.118 eV per atom

```
data_Sm3YTc
_cell_length_a 6.402
_cell_length_b 10.512
_cell_length_c 10.512
_cell_angle_alpha 58.82
_cell_angle_beta 85.74
_cell_angle_gamma 85.74
_space_group_name_H-M_alt 'P 1'
_space_group_IT_number 1
_space_group_name_Hall 'P 1'
loop_
_atom_site_label
_atom_site_fract_x
_atom_site_fract_y
_atom_site_fract_z
Sm1 0.649 0.727 0.995
Sm2 0.851 0.005 0.273
Sm3 0.351 0.273 0.005
Sm4 0.149 0.995 0.727
Sm5 0.840 0.392 0.973
Sm6 0.660 0.027 0.608
Sm7 0.160 0.608 0.027
Sm8 0.340 0.973 0.392
Sm9 0.462 0.639 0.709
Sm10 0.038 0.291 0.361
Sm11 0.538 0.361 0.291
Sm12 0.962 0.709 0.639
Y1 0.250 0.904 0.096
Y2 0.750 0.096 0.904
Y3 0.250 0.379 0.621
Y4 0.750 0.621 0.379
Tc1 0.700 0.411 0.719
Tc2 0.800 0.281 0.589
Tc3 0.300 0.589 0.281
Tc4 0.200 0.719 0.411
```

A relaxed structure of UNi2Se3, computed with PBE.

Output
Formation energy from raw total energies = -0.64 eV per atom
Total magnetization = 2.0 Bohr magnetons per cell
Raw total energy = -74.2 eV for the cell shown

```
data_UNi2Se3
_cell_length_a 3.887
_cell_length_b 6.362
_cell_length_c 10.335
_cell_angle_alpha 96.64
_cell_angle_beta 90.00
_cell_angle_gamma 90.00
_space_group_name_H-M_alt 'P 1'
_space_group_IT_number 1
_space_group_name_Hall 'P 1'
loop_
_atom_site_label
_atom_site_fract_x
_atom_site_fract_y
_atom_site_fract_z
U1 0.250 0.671 0.831
U2 0.750 0.329 0.169
Ni1 0.250 0.463 0.413
Ni2 0.750 0.537 0.587
Ni3 0.750 0.045 0.928
Ni4 0.250 0.955 0.072
Se1 0.750 0.887 0.705
Se2 0.250 0.113 0.295
Se3 0.750 0.649 0.375
Se4 0.250 0.351 0.625
Se5 0.250 0.269 0.950
Se6 0.750 0.731 0.050
```

A relaxed structure of Fe2AuN, computed with PBE.

Output
Formation energy from raw total energies = 0.20 eV per atom
Total magnetization = 5.6 Bohr magnetons per cell
Raw total energy = -55.5 eV for the cell shown

```
data_Fe2AuN
_cell_length_a 5.833
_cell_length_b 5.833
_cell_length_c 5.074
_cell_angle_alpha 54.91
_cell_angle_beta 54.91
_cell_angle_gamma 90.00
_space_group_name_H-M_alt 'P 1'
_space_group_IT_number 1
_space_group_name_Hall 'P 1'
loop_
_atom_site_label
_atom_site_fract_x
_atom_site_fract_y
_atom_site_fract_z
Au1 0.000 0.000 0.000
Au2 0.750 0.250 0.500
Fe1 0.503 0.125 0.250
Fe2 0.247 0.625 0.250
Fe3 0.375 0.497 0.750
Fe4 0.875 0.753 0.750
N1 0.500 0.500 0.000
N2 0.250 0.750 0.500
```

A relaxed structure of Dy2AlB2Ir5, computed with PBE.

Output
Total magnetization = 0.0 Bohr magnetons per cell
Raw total energy = -157.3 eV for the cell shown
ΔE_f = -0.806 eV per atom

```
data_Dy2AlB2Ir5
_cell_length_a 3.135
_cell_length_b 9.628
_cell_length_c 9.628
_cell_angle_alpha 90.00
_cell_angle_beta 90.00
_cell_angle_gamma 90.00
_space_group_name_H-M_alt 'P 1'
_space_group_IT_number 1
_space_group_name_Hall 'P 1'
loop_
_atom_site_label
_atom_site_fract_x
_atom_site_fract_y
_atom_site_fract_z
Dy1 0.000 0.677 0.177
Dy2 0.000 0.323 0.823
Dy3 0.000 0.177 0.323
Dy4 0.000 0.823 0.677
Al1 0.000 0.000 0.000
Al2 0.000 0.500 0.500
B1 0.000 0.122 0.622
B2 0.000 0.878 0.378
B3 0.000 0.622 0.878
B4 0.000 0.378 0.122
Ir1 0.500 0.219 0.068
Ir2 0.500 0.781 0.932
Ir3 0.500 0.068 0.781
Ir4 0.500 0.719 0.432
Ir5 0.500 0.932 0.219
Ir6 0.500 0.281 0.568
Ir7 0.500 0.568 0.719
Ir8 0.500 0.432 0.281
Ir9 0.500 0.500 0.000
Ir10 0.500 0.000 0.500
```

A relaxed structure of YHo6Er2, computed with PBE.

Output
Total magnetization = 0.0 Bohr magnetons per cell
Raw total energy = -84.8 eV for the cell shown
ΔE_f = 0.074 eV per atom

```
data_YHo6Er2
_cell_length_a 10.885
_cell_length_b 9.450
_cell_length_c 9.450
_cell_angle_alpha 75.85
_cell_angle_beta 50.72
_cell_angle_gamma 50.72
_space_group_name_H-M_alt 'P 1'
_space_group_IT_number 1
_space_group_name_Hall 'P 1'
loop_
_atom_site_label
_atom_site_fract_x
_atom_site_fract_y
_atom_site_fract_z
Y1 0.250 0.335 0.665
Y2 0.750 0.665 0.335
Ho1 0.601 0.395 0.596
Ho2 0.899 0.404 0.605
Ho3 0.399 0.605 0.404
Ho4 0.101 0.596 0.395
Ho5 0.782 0.016 0.334
Ho6 0.718 0.666 0.984
Ho7 0.218 0.984 0.666
Ho8 0.282 0.334 0.016
Ho9 0.324 0.707 0.983
Ho10 0.176 0.017 0.293
Ho11 0.676 0.293 0.017
Ho12 0.824 0.983 0.707
Er1 0.023 0.759 0.914
Er2 0.477 0.086 0.241
Er3 0.977 0.241 0.086
Er4 0.523 0.914 0.759
```

A relaxed structure of Hg2TeRuC, computed with PBE.

Output
Formation energy from raw total energies = 2.03 eV per atom
Total magnetization = 2.9 Bohr magnetons per cell
Raw total energy = -12.1 eV for the cell shown

```
data_Hg2TeRuC
_cell_length_a 5.789
_cell_length_b 4.066
_cell_length_c 5.789
_cell_angle_alpha 90.00
_cell_angle_beta 90.00
_cell_angle_gamma 90.00
_space_group_name_H-M_alt 'P 1'
_space_group_IT_number 1
_space_group_name_Hall 'P 1'
loop_
_atom_site_label
_atom_site_fract_x
_atom_site_fract_y
_atom_site_fract_z
Ru1 0.500 0.500 0.500
C1 0.000 0.500 0.000
Te1 0.000 0.000 0.000
Hg1 0.000 0.000 0.500
Hg2 0.500 0.000 0.000
```

A relaxed structure of YZnB, computed with PBE.

Output
Total magnetization = 0.0 Bohr magnetons per cell
Raw total energy = -60.4 eV for the cell shown
ΔE_f = -0.230 eV per atom

```
data_YZnB
_cell_length_a 5.116
_cell_length_b 3.330
_cell_length_c 11.411
_cell_angle_alpha 90.00
_cell_angle_beta 90.00
_cell_angle_gamma 90.00
_space_group_name_H-M_alt 'P 1'
_space_group_IT_number 1
_space_group_name_Hall 'P 1'
loop_
_atom_site_label
_atom_site_fract_x
_atom_site_fract_y
_atom_site_fract_z
Y1 0.376 0.250 0.379
Y2 0.124 0.750 0.879
Y3 0.624 0.750 0.621
Y4 0.876 0.250 0.121
Zn1 0.133 0.250 0.652
Zn2 0.367 0.750 0.152
Zn3 0.867 0.750 0.348
Zn4 0.633 0.250 0.848
B1 0.909 0.250 0.489
B2 0.591 0.750 0.989
B3 0.091 0.750 0.511
B4 0.409 0.250 0.011
```

A relaxed structure of Mg2SiBi, computed with PBE.

Output
Formation energy from raw total energies = 0.17 eV per atom
Total magnetization = 0.0 Bohr magnetons per cell
Raw total energy = -23.6 eV for the cell shown

```
data_Mg2SiBi
_cell_length_a 7.976
_cell_length_b 7.976
_cell_length_c 6.405
_cell_angle_alpha 51.49
_cell_angle_beta 51.49
_cell_angle_gamma 90.00
_space_group_name_H-M_alt 'P 1'
_space_group_IT_number 1
_space_group_name_Hall 'P 1'
loop_
_atom_site_label
_atom_site_fract_x
_atom_site_fract_y
_atom_site_fract_z
Mg1 0.579 0.125 0.250
Mg2 0.171 0.625 0.250
Mg3 0.375 0.421 0.750
Mg4 0.875 0.829 0.750
Si1 0.500 0.500 0.000
Si2 0.250 0.750 0.500
Bi1 0.000 0.000 0.000
Bi2 0.750 0.250 0.500
```